(1)
Compound: Nd5AgHg4
Source: Alexandria via LeMat-Bulk
Functional: GGA-PBE
Structure: relaxed

Cell lengths 3.8297, 3.8297, 19.0076 Å; angles 90.00, 90.00, 90.00 degrees
With the nearest neighbours (Å) after each atom.
Fractional positions:
Nd  0.0000  0.0000  0.0000  8 Hg 3.33
Nd  0.0000  0.0000  0.2020  8 Hg 3.31-3.32
Nd  0.0000  0.0000  0.4030  4 Ag 3.28, 4 Hg 3.31
Nd  0.0000  0.0000  0.5970  4 Ag 3.28, 4 Hg 3.31
Nd  0.0000  0.0000  0.7980  8 Hg 3.31-3.32
Ag  0.5000  0.5000  0.5000  8 Nd 3.28
Hg  0.5000  0.5000  0.1016  8 Nd 3.31-3.33
Hg  0.5000  0.5000  0.3027  8 Nd 3.31-3.32
Hg  0.5000  0.5000  0.6973  8 Nd 3.31-3.32
Hg  0.5000  0.5000  0.8984  8 Nd 3.31-3.33

Computed properties:
Formation enthalpy at 0 K = -0.43 eV per atom
Fermi-level density of states = 11.00 states/eV per cell
Calculated density = 9.718 g/cm3
V = 278.8 Å³ per cell

***

(2)
Compound: Nd5AgHg6
Source: Alexandria via LeMat-Bulk
Functional: GGA-PBE
Structure: relaxed

Cell lengths 9.3396, 9.3396, 5.3015 Å; angles 106.46, 106.46, 120.98 degrees
With the nearest neighbours (Å) after each atom.
Fractional positions:
Nd  0.0000  0.0000  0.0000  8 Hg 3.24-3.25
Nd  0.1727  0.8273  0.5000  8 Hg 3.27-3.37
Nd  0.3436  0.6564  0.0000  8 Hg 3.17-3.54
Nd  0.6564  0.3436  0.0000  8 Hg 3.17-3.54
Nd  0.8273  0.1727  0.5000  8 Hg 3.27-3.37
Ag  0.5000  0.5000  0.5000  8 Hg 3.20-3.26
Hg  0.0937  0.4155  0.2545  1 Ag 3.20, 7 Nd 3.23-3.54
Hg  0.2485  0.2485  0.7485  6 Nd 3.17-3.37, 2 Ag 3.26
Hg  0.4155  0.0937  0.2545  1 Ag 3.20, 7 Nd 3.23-3.54
Hg  0.5845  0.9063  0.7455  1 Ag 3.20, 7 Nd 3.23-3.54
Hg  0.7515  0.7515  0.2515  6 Nd 3.17-3.37, 2 Ag 3.26
Hg  0.9063  0.5845  0.7455  1 Ag 3.20, 7 Nd 3.23-3.54

Computed properties:
Formation enthalpy at 0 K = -0.40 eV per atom
Fermi-level density of states = 12.34 states/eV per cell
Calculated density = 10.406 g/cm3
V = 324.3 Å³ per cell

***

Which of these has the highest calculated density?
Nd5AgHg6